--- one ---
The following is a DFT calculation (GGA-PBEsol) of CrOsW2 after structural relaxation.

Lattice parameters (Å, degrees): 2.768 4.686 4.734 100.15 107.00 90.00
Positions (direct):
Cr (0.500, 0.000, 0.000)
Os (0.000, 0.500, 0.000)
W (0.252, 0.249, 0.503)
W (0.748, 0.751, 0.497)

Computed properties:
Space-group type: C2/m (12)
Calculated volume (Å³ per cell): 57.7

=====

--- two ---
The following is a DFT calculation (GGA-PBEsol) of CrOsW2 after structural relaxation.

Lattice parameters (Å, degrees): 2.696 4.276 5.062 90.00 100.93 90.00
Positions (direct):
Cr (0.532, 0.000, 0.491)
Os (0.253, 0.500, 0.751)
W (0.975, 0.000, 0.993)
W (0.740, 0.500, 0.265)

Computed properties:
Space-group type: Pm (6)
Calculated volume (Å³ per cell): 57.3

=====

Stability summary: most stable two, least stable one.

=====

--- one ---
The following is a DFT calculation (GGA-PBEsol) of YCr2Os after structural relaxation.

Lattice parameters (Å, degrees): 3.757 3.757 4.397 90.00 90.00 90.00
Positions (direct):
Cr (0.000, 0.500, 0.000)
Cr (0.500, 0.000, 0.000)
Os (0.500, 0.500, 0.500)
Y (0.000, 0.000, 0.500)

Computed properties:
Space-group type: P4/mmm (123)
Calculated volume (Å³ per cell): 62.1

=====

--- two ---
The following is a DFT calculation (GGA-PBEsol) of YCr2Os after structural relaxation.

Lattice parameters (Å, degrees): 2.762 5.025 5.025 115.30 100.45 100.45
Positions (direct):
Cr (0.000, 0.500, 0.000)
Cr (0.000, 0.000, 0.500)
Os (0.500, 0.000, 0.000)
Y (0.500, 0.500, 0.500)

Computed properties:
Space-group type: C2/m (12)
Calculated volume (Å³ per cell): 59.3

=====

Stability summary: most stable two, least stable one.

=====

--- one ---
The following is a DFT calculation (GGA-PBEsol) of YCr2Os after structural relaxation.

Lattice parameters (Å, degrees): 2.959 4.628 5.187 116.50 106.58 90.00
Positions (direct):
Cr (0.967, 0.967, 0.934)
Cr (0.265, 0.765, 0.529)
Os (0.524, 0.524, 0.048)
Y (0.744, 0.244, 0.489)

Computed properties:
Space-group type: Imm2 (44)
Calculated volume (Å³ per cell): 60.3

=====

--- two ---
The following is a DFT calculation (GGA-PBEsol) of YCr2Os after structural relaxation.

Lattice parameters (Å, degrees): 4.440 4.440 4.440 60.00 60.00 60.00
Positions (direct):
Cr (0.000, 0.000, 0.000)
Cr (0.750, 0.750, 0.750)
Os (0.500, 0.500, 0.500)
Y (0.250, 0.250, 0.250)

Computed properties:
Space-group type: F-43m (216)
Calculated volume (Å³ per cell): 61.9

=====

--- three ---
The following is a DFT calculation (GGA-PBEsol) of YCr2Os after structural relaxation.

Lattice parameters (Å, degrees): 2.808 4.135 5.640 90.00 102.66 90.00
Positions (direct):
Cr (0.798, 0.000, 0.827)
Cr (0.202, 0.000, 0.173)
Os (0.500, 0.500, 0.000)
Y (0.000, 0.500, 0.500)

Computed properties:
Space-group type: P2/m (10)
Calculated volume (Å³ per cell): 63.9

=====

--- four ---
The following is a DFT calculation (GGA-PBEsol) of YCr2Os after structural relaxation.

Lattice parameters (Å, degrees): 4.352 4.352 4.352 60.00 60.00 60.00
Positions (direct):
Cr (0.250, 0.250, 0.250)
Cr (0.750, 0.750, 0.750)
Os (0.000, 0.000, 0.000)
Y (0.500, 0.500, 0.500)

Computed properties:
Space-group type: Fm-3m (225)
Calculated volume (Å³ per cell): 58.3

=====

Stability summary: most stable four, least stable one.

=====

--- one ---
The following is a DFT calculation (GGA-PBEsol) of YCr2Os after structural relaxation.

Lattice parameters (Å, degrees): 2.964 2.964 6.963 90.00 90.00 90.00
Positions (direct):
Cr (0.000, 0.000, 0.066)
Cr (0.500, 0.500, 0.236)
Os (0.000, 0.000, 0.444)
Y (0.500, 0.500, 0.755)

Computed properties:
Space-group type: P4mm (99)
Calculated volume (Å³ per cell): 61.2

=====

--- two ---
The following is a DFT calculation (GGA-PBEsol) of YCr2Os after structural relaxation.

Lattice parameters (Å, degrees): 3.017 4.941 4.935 105.78 90.00 107.77
Positions (direct):
Cr (0.778, 0.556, 0.864)
Cr (0.222, 0.444, 0.136)
Os (0.500, 0.000, 0.000)
Y (0.000, 0.000, 0.500)

Computed properties:
Space-group type: C2/m (12)
Calculated volume (Å³ per cell): 67.1

=====

Stability summary: most stable one, least stable two.

=====

--- one ---
The following is a DFT calculation (GGA-PBEsol) of Zn2CrOs after structural relaxation.

Lattice parameters (Å, degrees): 2.849 2.849 6.503 90.00 90.00 90.00
Positions (direct):
Cr (0.000, 0.000, 0.014)
Zn (0.000, 0.000, 0.501)
Zn (0.500, 0.500, 0.760)
Os (0.500, 0.500, 0.225)

Computed properties:
Space-group type: P4mm (99)
Calculated volume (Å³ per cell): 52.8

=====

--- two ---
The following is a DFT calculation (GGA-PBEsol) of Zn2CrOs after structural relaxation.

Lattice parameters (Å, degrees): 2.671 2.671 8.772 81.24 81.24 60.00
Positions (direct):
Cr (0.503, 0.503, 0.492)
Zn (0.999, 0.999, 0.003)
Zn (0.754, 0.754, 0.739)
Os (0.245, 0.245, 0.266)

Computed properties:
Space-group type: R3m (160)
Calculated volume (Å³ per cell): 53.4

=====

--- three ---
The following is a DFT calculation (GGA-PBEsol) of Zn2CrOs after structural relaxation.

Lattice parameters (Å, degrees): 2.585 4.001 5.150 90.00 90.00 90.00
Positions (direct):
Cr (0.500, 0.500, 0.000)
Os (0.500, 0.500, 0.500)
Zn (0.000, 0.000, 0.752)
Zn (0.000, 0.000, 0.248)

Computed properties:
Space-group type: Pmmm (47)
Calculated volume (Å³ per cell): 53.3

=====

--- four ---
The following is a DFT calculation (GGA-PBEsol) of Zn2CrOs after structural relaxation.

Lattice parameters (Å, degrees): 2.560 4.861 4.972 116.14 99.55 100.80
Positions (direct):
Cr (0.500, 0.000, 0.000)
Os (0.000, 0.500, 0.000)
Zn (0.000, 0.000, 0.500)
Zn (0.500, 0.500, 0.500)

Computed properties:
Space-group type: C2/m (12)
Calculated volume (Å³ per cell): 52.3

=====

Stability summary: most stable one, least stable three.

=====

--- one ---
The following is a DFT calculation (GGA-PBEsol) of CrP3 after structural relaxation.

Lattice parameters (Å, degrees): 3.146 4.270 4.628 117.47 109.87 90.00
Positions (direct):
Cr (0.000, 0.000, 0.000)
P (0.780, 0.280, 0.560)
P (0.500, 0.500, 0.000)
P (0.220, 0.720, 0.440)

Computed properties:
Space-group type: Immm (71)
Calculated volume (Å³ per cell): 51.0

=====

--- two ---
The following is a DFT calculation (GGA-PBEsol) of CrP3 after structural relaxation.

Lattice parameters (Å, degrees): 3.724 4.592 6.921 109.37 90.00 90.00
Positions (direct):
Cr (0.250, 0.552, 0.103)
Cr (0.750, 0.448, 0.897)
P (0.750, 0.052, 0.105)
P (0.250, 0.948, 0.895)
P (0.750, 0.567, 0.600)
P (0.250, 0.433, 0.400)
P (0.750, 0.033, 0.600)
P (0.250, 0.967, 0.400)

Computed properties:
Space-group type: Cmcm (63)
Calculated volume (Å³ per cell): 111.6

=====

Stability summary: most stable one, least stable two.

=====

--- one ---
The following is a DFT calculation (GGA-PBEsol) of Cr5P3 after structural relaxation.

Lattice parameters (Å, degrees): 4.628 6.623 6.623 120.00 90.00 90.00
Positions (direct):
Cr (0.000, 0.667, 0.333)
Cr (0.500, 0.333, 0.667)
Cr (0.000, 0.333, 0.667)
Cr (0.500, 0.667, 0.333)
Cr (0.750, 0.756, 0.756)
Cr (0.250, 0.244, 0.244)
Cr (0.750, 0.000, 0.244)
Cr (0.750, 0.244, 0.000)
Cr (0.250, 0.756, 0.000)
Cr (0.250, 0.000, 0.756)
P (0.750, 0.387, 0.387)
P (0.250, 0.613, 0.613)
P (0.750, 0.000, 0.613)
P (0.750, 0.613, 0.000)
P (0.250, 0.387, 0.000)
P (0.250, 0.000, 0.387)

Computed properties:
Space-group type: P6_3/mcm (193)
Calculated volume (Å³ per cell): 175.8

=====

--- two ---
The following is a DFT calculation (GGA-PBEsol) of Cr5P3 after structural relaxation.

Lattice parameters (Å, degrees): 4.584 6.578 6.578 83.02 69.61 69.61
Positions (direct):
Cr (0.250, 0.500, 0.500)
Cr (0.750, 0.500, 0.500)
Cr (0.923, 0.857, 0.297)
Cr (0.077, 0.143, 0.703)
Cr (0.423, 0.297, 0.857)
Cr (0.577, 0.703, 0.143)
Cr (0.720, 0.857, 0.703)
Cr (0.280, 0.143, 0.297)
Cr (0.780, 0.297, 0.143)
Cr (0.220, 0.703, 0.857)
P (0.250, 0.000, 0.000)
P (0.750, 0.000, 0.000)
P (0.835, 0.500, 0.829)
P (0.165, 0.500, 0.171)
P (0.335, 0.829, 0.500)
P (0.665, 0.171, 0.500)

Computed properties:
Space-group type: I4/mcm (140)
Calculated volume (Å³ per cell): 174.3

=====

Stability summary: most stable two, least stable one.

=====

--- one ---
The following is a DFT calculation (GGA-PBEsol) of Cr5P after structural relaxation.

Lattice parameters (Å, degrees): 2.845 2.845 8.108 90.00 90.00 90.00
Positions (direct):
Cr (0.000, 0.000, 0.839)
Cr (0.000, 0.000, 0.161)
Cr (0.500, 0.500, 0.670)
Cr (0.500, 0.500, 0.330)
Cr (0.000, 0.000, 0.500)
P (0.500, 0.500, 0.000)

Computed properties:
Space-group type: P4/mmm (123)
Calculated volume (Å³ per cell): 65.6

=====

--- two ---
The following is a DFT calculation (GGA-PBEsol) of Cr5P after structural relaxation.

Lattice parameters (Å, degrees): 2.878 4.595 5.516 108.12 90.00 108.25
Positions (direct):
Cr (0.829, 0.658, 0.663)
Cr (0.500, 0.000, 0.000)
Cr (0.171, 0.342, 0.337)
Cr (0.165, 0.329, 0.832)
Cr (0.835, 0.671, 0.168)
P (0.500, 0.000, 0.500)

Computed properties:
Space-group type: C2/m (12)
Calculated volume (Å³ per cell): 65.4

=====

--- three ---
The following is a DFT calculation (GGA-PBEsol) of Cr5P after structural relaxation.

Lattice parameters (Å, degrees): 4.600 4.600 4.600 60.00 60.00 60.00
Positions (direct):
Cr (0.250, 0.250, 0.250)
Cr (0.626, 0.122, 0.626)
Cr (0.626, 0.626, 0.122)
Cr (0.626, 0.626, 0.626)
Cr (0.122, 0.626, 0.626)
P (0.000, 0.000, 0.000)

Computed properties:
Space-group type: F-43m (216)
Calculated volume (Å³ per cell): 68.8

=====

Stability summary: most stable two, least stable three.